Entry 1:
PrAl2Au6 | GGA-PBE | relaxed

Lattice parameters (Å, degrees): 8.3833 8.3833 8.3833 60.00 60.00 60.00
Last column: nearest neighbours and their distance in Å.
Element x y z (fractional)
1 Pr 0.5000 0.5000 0.5000  6 Au 3.03
2 Pr 0.7500 0.7500 0.7500  6 Au 3.03
3 Al 0.1250 0.1250 0.1250  6 Au 2.53
4 Al 0.1250 0.6250 0.1250  6 Au 2.53
5 Al 0.1250 0.1250 0.6250  6 Au 2.53
6 Al 0.6250 0.1250 0.1250  6 Au 2.53
7 Au 0.2445 0.2445 0.7555  2 Al 2.53
8 Au 0.7555 0.7555 0.2445  2 Al 2.53
9 Au 0.2445 0.7555 0.2445  2 Al 2.53
10 Au 0.2445 0.7555 0.7555  2 Al 2.53
11 Au 0.4945 0.4945 0.0055  2 Al 2.53
12 Au 0.4945 0.0055 0.0055  2 Al 2.53
13 Au 0.7555 0.2445 0.7555  2 Al 2.53
14 Au 0.0055 0.0055 0.4945  2 Al 2.53
15 Au 0.4945 0.0055 0.4945  2 Al 2.53
16 Au 0.0055 0.4945 0.4945  2 Al 2.53
17 Au 0.7555 0.2445 0.2445  2 Al 2.53
18 Au 0.0055 0.4945 0.0055  2 Al 2.53

Results
* crystal system: cubic
* symmetry: Fd-3m, No. 227
* offset from the most stable computed form: 176 meV per atom


Entry 2:
Pr2AlAu3 | GGA-PBE | relaxed

Lattice parameters (Å, degrees): 3.7306 4.6490 8.2110 90.00 90.00 90.00
Last column: nearest neighbours and their distance in Å.
Element x y z (fractional)
1 Pr 0.0000 0.5000 0.9888  10 Au 3.21-3.39, 2 Al 3.33
2 Pr 0.0000 0.0000 0.5128  8 Au 3.17-3.29, 4 Al 3.35
3 Al 0.5000 0.5000 0.3254  3 Au 2.59-2.61
4 Au 0.5000 0.0000 0.8425  3 Au 2.83-2.84
5 Au 0.5000 0.0000 0.1868  2 Al 2.59, 1 Au 2.83
6 Au 0.5000 0.5000 0.6437  1 Al 2.61, 2 Au 2.84

Results
* crystal system: orthorhombic
* symmetry: Pmm2, No. 25
* offset from the most stable computed form: 0 meV per atom


Entry 3:
Pr2AlAu5 | GGA-PBE | relaxed

Lattice parameters (Å, degrees): 6.4098 6.4098 6.4098 92.17 118.76 118.76
Last column: nearest neighbours and their distance in Å.
Element x y z (fractional)
1 Pr 0.5000 0.2434 0.7434  10 Au 3.19-3.27
2 Pr 0.5000 0.7434 0.2434  10 Au 3.19-3.27
3 Al 0.0000 0.9797 0.9797  5 Au 2.54-2.56
4 Au 0.4463 0.7206 0.7206  1 Al 2.56
5 Au 0.0000 0.7206 0.2742  1 Al 2.56
6 Au 0.0000 0.2742 0.7206  1 Al 2.56
7 Au 0.5537 0.2742 0.2742  1 Al 2.56
8 Au 0.0000 0.2659 0.2659  1 Al 2.54

Results
* crystal system: tetragonal
* symmetry: I4mm, No. 107


Entry 4:
Pr2AlAu | GGA-PBE | relaxed

Lattice parameters (Å, degrees): 5.3402 5.3402 5.3402 60.00 60.00 60.00
Last column: nearest neighbours and their distance in Å.
Element x y z (fractional)
1 Pr 0.2500 0.2500 0.2500  4 Al 3.27, 4 Au 3.27
2 Pr 0.7500 0.7500 0.7500  4 Au 3.27, 4 Al 3.27
3 Au 0.5000 0.5000 0.5000  8 Pr 3.27
4 Al 0.0000 0.0000 0.0000  8 Pr 3.27

Results
* crystal system: cubic
* symmetry: Fm-3m, No. 225
* offset from the most stable computed form: 69 meV per atom


Entry 5:
Pr2Al2Au3 | GGA-PBE | relaxed

Lattice parameters (Å, degrees): 4.3160 7.3459 10.1859 90.00 102.23 90.00
Last column: nearest neighbours and their distance in Å.
Element x y z (fractional)
1 Pr 0.1514 0.2500 0.3028  6 Au 3.11-3.27, 6 Al 3.24-3.37
2 Pr 0.8486 0.7500 0.6972  6 Au 3.11-3.27, 6 Al 3.24-3.37
3 Pr 0.9405 0.2500 0.8811  5 Au 3.09-3.30
4 Pr 0.0595 0.7500 0.1189  5 Au 3.09-3.30
5 Al 0.6951 0.9422 0.3903  4 Au 2.65-2.76, 1 Al 2.82
6 Al 0.3049 0.0578 0.6097  4 Au 2.65-2.76, 1 Al 2.82
7 Al 0.3049 0.4422 0.6097  4 Au 2.65-2.76, 1 Al 2.82
8 Al 0.6951 0.5578 0.3903  4 Au 2.65-2.76, 1 Al 2.82
9 Au 0.2253 0.7500 0.4507  6 Al 2.65-2.76
10 Au 0.7747 0.2500 0.5493  6 Al 2.65-2.76
11 Au 0.5664 0.4489 0.1328  1 Al 2.69, 2 Au 2.75-2.92
12 Au 0.4336 0.5511 0.8672  1 Al 2.69, 2 Au 2.75-2.92
13 Au 0.4336 0.9489 0.8672  1 Al 2.69, 2 Au 2.75-2.92
14 Au 0.5664 0.0511 0.1328  1 Al 2.69, 2 Au 2.75-2.92

Results
* crystal system: orthorhombic
* symmetry: Cmcm, No. 63


Entry 6:
Pr3Al8Au3 | GGA-PBE | relaxed

Lattice parameters (Å, degrees): 4.4610 8.4648 8.4648 73.32 74.72 74.72
Last column: nearest neighbours and their distance in Å.
Element x y z (fractional)
1 Pr 0.5000 0.5000 0.5000  12 Al 3.28-3.37, 4 Au 3.55
2 Pr 0.8103 0.1897 0.1897  8 Al 3.19-3.24, 4 Au 3.30-3.34
3 Pr 0.1897 0.8103 0.8103  8 Al 3.19-3.24, 4 Au 3.30-3.34
4 Al 0.6270 0.0910 0.6551  3 Au 2.74-2.76, 3 Al 2.74-2.78
5 Al 0.3730 0.9090 0.3449  3 Au 2.74-2.76, 3 Al 2.74-2.78
6 Al 0.6270 0.6551 0.0910  3 Au 2.74-2.76, 3 Al 2.74-2.78
7 Al 0.3730 0.3449 0.9090  3 Au 2.74-2.76, 3 Al 2.74-2.78
8 Al 0.8333 0.7989 0.5345  1 Au 2.57, 4 Al 2.67-2.78
9 Al 0.1667 0.2011 0.4655  1 Au 2.57, 4 Al 2.67-2.78
10 Al 0.8333 0.5345 0.7989  1 Au 2.57, 4 Al 2.67-2.78
11 Al 0.1667 0.4655 0.2011  1 Au 2.57, 4 Al 2.67-2.78
12 Au 0.5000 0.0000 0.0000  4 Al 2.74
13 Au 0.0000 0.7736 0.2264  6 Al 2.57-2.76
14 Au 0.0000 0.2264 0.7736  6 Al 2.57-2.76

Results
* crystal system: orthorhombic
* symmetry: Immm, No. 71
* offset from the most stable computed form: 20 meV per atom


Entry 7:
PrAl3Au2 | GGA-PBE | relaxed

Lattice parameters (Å, degrees): 4.2832 8.0347 8.2191 113.18 90.00 105.46
Last column: nearest neighbours and their distance in Å.
Element x y z (fractional)
1 Pr 0.8518 0.7036 0.9131  7 Al 3.18-3.54, 6 Au 3.22-3.41
2 Pr 0.1482 0.2964 0.0869  7 Al 3.18-3.54, 6 Au 3.22-3.41
3 Al 0.3209 0.6417 0.5510  4 Au 2.57-2.72
4 Al 0.9805 0.9609 0.6459  3 Au 2.58-2.68, 1 Al 2.70
5 Al 0.6267 0.2535 0.7579  3 Au 2.51-2.56
6 Al 0.3733 0.7465 0.2421  3 Au 2.51-2.56
7 Al 0.0195 0.0391 0.3541  3 Au 2.58-2.68, 1 Al 2.70
8 Al 0.6791 0.3583 0.4490  4 Au 2.57-2.72
9 Au 0.4810 0.9620 0.8212  4 Al 2.51-2.58, 1 Au 2.75
10 Au 0.5190 0.0380 0.1788  4 Al 2.51-2.58, 1 Au 2.75
11 Au 0.8210 0.6420 0.3476  6 Al 2.56-2.72
12 Au 0.1790 0.3580 0.6524  6 Al 2.56-2.72

Results
* crystal system: monoclinic
* symmetry: C2/m, No. 12


Entry 8:
PrAlAu | GGA-PBE | relaxed

Lattice parameters (Å, degrees): 3.8824 4.6007 4.6007 120.00 90.00 90.00
Last column: nearest neighbours and their distance in Å.
Element x y z (fractional)
1 Pr 0.6667 0.6667 0.3333  6 Au 3.29, 6 Al 3.29
2 Au 0.1666 0.3333 0.6667  3 Al 2.66
3 Al 0.1667 0.0000 0.0000  3 Au 2.66

Results
* crystal system: hexagonal
* symmetry: P-6m2, No. 187


Entry 9:
PrAlAu3 | GGA-PBE | relaxed

Lattice parameters (Å, degrees): 4.3755 5.4483 9.4264 105.75 103.42 90.00
Last column: nearest neighbours and their distance in Å.
Element x y z (fractional)
1 Pr 0.5764 0.3168 0.1528  6 Au 3.05-3.36
2 Pr 0.4236 0.6832 0.8472  6 Au 3.05-3.36
3 Al 0.8049 0.8685 0.6098  4 Au 2.53-2.67
4 Al 0.1951 0.1315 0.3902  4 Au 2.53-2.67
5 Au 0.0483 0.7701 0.0967  1 Al 2.86, 3 Au 2.95-2.98, 2 Pr 3.10
6 Au 0.9517 0.2299 0.9033  1 Al 2.86, 3 Au 2.95-2.98, 2 Pr 3.10
7 Au 0.3392 0.1142 0.6785  3 Al 2.55-2.67
8 Au 0.6608 0.8858 0.3215  3 Al 2.55-2.67
9 Au 0.2117 0.6088 0.4235  1 Al 2.53
10 Au 0.7883 0.3912 0.5765  1 Al 2.53

Results
* crystal system: monoclinic
* symmetry: C2/m, No. 12
* offset from the most stable computed form: 0 meV per atom


Entry 10:
Pr3AlAu4 | GGA-PBE | relaxed

Lattice parameters (Å, degrees): 4.1955 7.0723 8.2917 115.24 104.65 90.00
Last column: nearest neighbours and their distance in Å.
Element x y z (fractional)
1 Pr 0.1927 0.1927 0.3854  6 Au 3.10-3.11
2 Pr 0.8073 0.8073 0.6146  6 Au 3.10-3.11
3 Pr 0.0000 0.5000 0.0000  8 Au 3.10
4 Al 0.5000 0.0000 0.0000  4 Au 2.66
5 Au 0.3811 0.1683 0.7622  1 Al 2.66
6 Au 0.6189 0.8317 0.2378  1 Al 2.66
7 Au 0.6189 0.4062 0.2378  1 Al 2.66
8 Au 0.3811 0.5938 0.7622  1 Al 2.66

Results
* crystal system: orthorhombic
* symmetry: Immm, No. 71


| no. | total energy (eV per atom) | N(E_F) (states/eV per cell) |
| --- | --- | --- |
| 1 | -3.757 | 11.5 |
| 2 | -4.613 | 4.0 |
| 3 | -4.275 | 4.7 |
| 4 | -4.610 | 4.8 |
| 5 | -4.560 | 8.0 |
| 6 | -4.414 | 5.5 |
| 7 | -4.338 | 6.6 |
| 8 | -4.626 | 4.1 |
| 9 | -4.289 | 4.1 |
| 10 | -4.525 | 7.1 |